No. 1
Th2ZrCu (PBE-GGA, optimized geometry); electronic total energy = -25.90 eV per cell; energy above the most stable polymorph in this dataset = 351 meV per atom; energy relative to the elements = 396.9 meV/atom; D(E_F) = 1.472 states/eV/atom
1.0
1.664 0.961 10.904
-1.664 0.961 10.904
0.000 -1.922 10.904
Th Zr Cu
2 1 1
Direct
0.095 0.095 0.095 Th
0.905 0.905 0.905 Th
0.000 0.000 0.000 Zr
0.500 0.500 0.500 Cu

=====

No. 2
ThZr2Cu9 (PBE-GGA, optimized geometry); electronic total energy = -62.91 eV per cell; energy relative to the elements = -127.6 meV/atom; D(E_F) = 0.681 states/eV/atom
1.0
2.572 1.485 8.107
-2.572 1.485 8.107
0.000 -2.970 8.107
Th Zr Cu
1 2 9
Direct
0.000 0.000 0.000 Th
0.153 0.153 0.153 Zr
0.847 0.847 0.847 Zr
0.085 0.583 0.583 Cu
0.332 0.332 0.332 Cu
0.417 0.417 0.915 Cu
0.417 0.915 0.417 Cu
0.500 0.500 0.500 Cu
0.583 0.085 0.583 Cu
0.583 0.583 0.085 Cu
0.668 0.668 0.668 Cu
0.915 0.417 0.417 Cu

=====

No. 3
ThZrCu10 (PBE-GGA, optimized geometry); electronic total energy = -58.03 eV per cell; energy relative to the elements = -91.5 meV/atom; D(E_F) = 0.974 states/eV/atom
1.0
4.099 0.000 0.000
0.000 5.021 0.000
0.000 0.000 8.656
Th Zr Cu
1 1 10
Direct
0.000 0.000 0.000 Th
0.000 0.500 0.500 Zr
0.000 0.000 0.342 Cu
0.000 0.000 0.658 Cu
0.000 0.500 0.178 Cu
0.000 0.500 0.822 Cu
0.500 0.000 0.500 Cu
0.500 0.254 0.257 Cu
0.500 0.254 0.743 Cu
0.500 0.500 0.000 Cu
0.500 0.746 0.257 Cu
0.500 0.746 0.743 Cu

=====

No. 4
ThZrCu4 (PBE-GGA, optimized geometry); electronic total energy = -32.50 eV per cell; energy above the most stable polymorph in this dataset = 37 meV per atom; energy relative to the elements = -24.1 meV/atom; D(E_F) = 1.037 states/eV/atom
1.0
-1.883 1.883 7.747
1.883 -1.883 7.747
1.883 1.883 -7.747
Th Zr Cu
1 1 4
Direct
0.000 0.000 0.000 Th
0.250 0.750 0.500 Zr
0.418 0.418 0.000 Cu
0.582 0.582 0.000 Cu
0.674 0.174 0.500 Cu
0.826 0.326 0.500 Cu

=====

Please write out number 1 again, unchanged.
Th2ZrCu (PBE-GGA, optimized geometry); electronic total energy = -25.90 eV per cell; energy above the most stable polymorph in this dataset = 351 meV per atom; energy relative to the elements = 396.9 meV/atom; D(E_F) = 1.472 states/eV/atom
1.0
1.664 0.961 10.904
-1.664 0.961 10.904
0.000 -1.922 10.904
Th Zr Cu
2 1 1
Direct
0.095 0.095 0.095 Th
0.905 0.905 0.905 Th
0.000 0.000 0.000 Zr
0.500 0.500 0.500 Cu